Record 1
BiW2Au | the Alexandria database | PBE-GGA | optimized geometry; DFT formation energy = 0.965 eV/atom; SG = I-42d, No. 122
1.0
4.0253 0.0000 0.0000
0.0000 4.0253 0.0000
0.0000 0.0000 20.4443
Bi W Au
4 8 4
direct
0.0000 0.0000 0.0000
0.0000 0.5000 0.2500
0.5000 0.0000 0.7500
0.5000 0.5000 0.5000
0.1994 0.2500 0.6250
0.2500 0.6994 0.8750
0.2500 0.8006 0.3750
0.3006 0.2500 0.1250
0.6994 0.7500 0.1250
0.7500 0.1994 0.3750
0.7500 0.3006 0.8750
0.8006 0.7500 0.6250
0.0000 0.0000 0.5000
0.0000 0.5000 0.7500
0.5000 0.0000 0.2500
0.5000 0.5000 0.0000

---

Record 2
PrNd2AlN | the Alexandria database | PBE-GGA | optimized geometry; SG = P4/mmm, No. 123; uncorrected formation energy = -0.74 eV/atom
1.0
4.9998 0.0000 0.0000
0.0000 4.9998 0.0000
0.0000 0.0000 5.0446
Pr Nd Al N
1 2 1 1
direct
0.0000 0.0000 0.0000
0.0000 0.5000 0.5000
0.5000 0.0000 0.5000
0.5000 0.5000 0.0000
0.0000 0.0000 0.5000